1.
Compound: SrMn2PI
Source: Alexandria
Functional: meta-GGA SCAN
Structure: PBEsol geometry

Calculated values
**Crystal system**: tetragonal

a = 6.1373 Å, b = 6.1373 Å, c = 6.0214 Å
α = 90.00°, β = 90.00°, γ = 90.00°
Space group P4/mmm (No. 123)
One atom of each set of equivalent atoms:
1 Sr 0.0000 0.0000 0.0000 [1 per cell]
2 Mn 0.0000 0.5000 0.0000 [2 per cell]
3 P 0.5000 0.5000 0.5000 [1 per cell]
4 I 0.0000 0.0000 0.5000 [1 per cell]



2.
Compound: Fe2AsP
Source: Alexandria
Functional: meta-GGA SCAN
Structure: PBEsol geometry

Calculated values
**Formation energy**: 0.12 eV/atom
**Crystal system**: trigonal

a = 2.7352 Å, b = 2.7352 Å, c = 26.6512 Å
α = 90.00°, β = 90.00°, γ = 120.00°
Space group R3m (No. 160, hexagonal axes)
One atom of each set of equivalent atoms:
1 Fe 0.0000 0.0000 0.0000 [3 per cell]
2 Fe 0.0000 0.0000 0.2623 [3 per cell]
3 As 0.0000 0.0000 0.5255 [3 per cell]
4 P 0.0000 0.0000 0.7276 [3 per cell]



3.
Compound: In2Ir
Source: Alexandria
Functional: meta-GGA SCAN
Structure: PBEsol geometry

Calculated values
**Formation energy**: -0.17 eV/atom
**Crystal system**: tetragonal

a = 4.6069 Å, b = 4.6069 Å, c = 2.9753 Å
α = 90.00°, β = 90.00°, γ = 90.00°
Space group P4/mmm (No. 123)
One atom of each set of equivalent atoms:
1 In 0.0000 0.5000 0.0000 [2 per cell]
2 Ir 0.0000 0.0000 0.5000 [1 per cell]



4.
Compound: MnBe4
Source: Alexandria
Functional: meta-GGA SCAN
Structure: PBEsol geometry

Calculated values
**Relative energy among the computed polymorphs**: 0 meV/atom
**Formation energy**: 0.11 eV/atom
**Crystal system**: tetragonal

a = 2.9765 Å, b = 2.9765 Å, c = 9.6096 Å
α = 90.00°, β = 90.00°, γ = 90.00°
Space group I4/mmm (No. 139)
One atom of each set of equivalent atoms:
1 Mn 0.0000 0.0000 0.0000 [2 per cell]
2 Be 0.0000 0.0000 0.4024 [4 per cell]
3 Be 0.0000 0.5000 0.2500 [4 per cell]



| no. | energy (eV per cell) |
| --- | --- |
| 1 | -99.96 |
| 2 | -199.07 |
| 3 | -138.39 |
| 4 | -70.24 |